# Ce2Ge4PtRh3

A relaxed structure of Ce2Ge4PtRh3 (PBE-GGA, Alexandria via LeMat-Bulk).

- density of states at the Fermi level (states/eV/f.u.) = 9.7
- total DFT energy (no corrections) (eV/cell) = -67.1
- energy relative to the elements (eV/f.u.) = -8.6
- space group = P-4m2, No. 115

Structure (POSCAR):
```
Ce2Ge4PtRh3
1.0
4.2321 0.0000 0.0000
0.0000 4.2321 0.0000
0.0000 0.0000 10.2783
Ce Ge Pt Rh
2 4 1 3
Direct
0.0000 0.5000 0.2407
0.5000 0.0000 0.7593
0.0000 0.0000 0.0000
0.0000 0.5000 0.6366
0.5000 0.0000 0.3634
0.5000 0.5000 0.0000
0.0000 0.0000 0.5000
0.0000 0.5000 0.8724
0.5000 0.0000 0.1276
0.5000 0.5000 0.5000
```